# Ba2NaAgAu6 PBE-GGA optimized geometry
# Formation energy from the elements   -0.17 eV per atom
# Calculated total energy   -29.4 eV/f.u.
data_Ba2NaAgAu6
_chemical_formula_sum 'Ba2 Na1 Ag1 Au6'
_space_group_name_H-M_alt 'P 1'
_space_group_IT_number 1
_cell_length_a 7.452
_cell_length_b 7.452
_cell_length_c 7.452
_cell_angle_alpha 60.00
_cell_angle_beta 60.00
_cell_angle_gamma 60.00
loop_
_space_group_symop_operation_xyz
'x,y,z'
loop_
_atom_site_label
_atom_site_fract_x
_atom_site_fract_y
_atom_site_fract_z
Ba1 0.250 0.250 0.250
Ba2 0.750 0.750 0.750
Na1 0.000 0.000 0.000
Ag1 0.500 0.500 0.500
Au1 0.250 0.250 0.750
Au2 0.250 0.750 0.250
Au3 0.250 0.750 0.750
Au4 0.750 0.250 0.250
Au5 0.750 0.250 0.750
Au6 0.750 0.750 0.250